(1)
{
  "formula": "K4CrSb",
  "functional": "PBEsol",
  "state": "optimized geometry",
  "lattice": [[0.000, 4.816, 4.816], [4.816, 0.000, 4.816], [4.816, 4.816, 0.000]],
  "species": ["K", "K", "K", "K", "Cr", "Sb"],
  "frac_coords": [[0.376, 0.376, 0.376], [0.376, 0.376, 0.872], [0.376, 0.872, 0.376], [0.872, 0.376, 0.376], [0.000, 0.000, 0.000], [0.750, 0.750, 0.750]],
  "raw_formation_energy_ev_per_fu": 3.89
}

(2)
{
  "formula": "KScCr2",
  "functional": "PBEsol",
  "state": "optimized geometry",
  "lattice": [[3.323, 0.000, 0.000], [0.000, 3.323, 0.000], [0.000, 0.000, 8.727]],
  "species": ["K", "Sc", "Cr", "Cr"],
  "frac_coords": [[0.000, 0.000, 0.000], [0.000, 0.000, 0.500], [0.500, 0.500, 0.313], [0.500, 0.500, 0.687]],
  "delta_e_f_mev_per_atom": 997
}

(3)
{
  "formula": "KScCr4",
  "functional": "PBEsol",
  "state": "optimized geometry",
  "lattice": [[0.000, 3.590, 3.590], [3.590, 0.000, 3.590], [3.590, 3.590, 0.000]],
  "species": ["K", "Sc", "Cr", "Cr", "Cr", "Cr"],
  "frac_coords": [[0.000, 0.000, 0.000], [0.250, 0.250, 0.250], [0.119, 0.627, 0.627], [0.627, 0.119, 0.627], [0.627, 0.627, 0.119], [0.627, 0.627, 0.627]],
  "delta_e_f_mev_per_atom": 1116
}

(4)
{
  "formula": "KSc3Cr",
  "functional": "PBEsol",
  "state": "optimized geometry",
  "lattice": [[5.088, 0.000, 0.000], [0.000, 5.088, 0.000], [0.000, 0.000, 5.088]],
  "species": ["K", "Sc", "Sc", "Sc", "Cr"],
  "frac_coords": [[0.000, 0.000, 0.000], [0.000, 0.500, 0.500], [0.500, 0.000, 0.500], [0.500, 0.500, 0.000], [0.500, 0.500, 0.500]],
  "delta_e_f_mev_per_atom": 585
}

(5)
{
  "formula": "KSc2Cr",
  "functional": "PBEsol",
  "state": "optimized geometry",
  "lattice": [[3.373, 0.000, 0.000], [0.000, 5.449, 0.000], [0.000, 0.000, 5.489]],
  "species": ["K", "Sc", "Sc", "Cr"],
  "frac_coords": [[0.000, 0.000, 0.000], [0.000, 0.500, 0.500], [0.500, 0.500, 0.000], [0.500, 0.000, 0.500]],
  "de_polymorph_mev_per_atom": 564,
  "delta_e_f_mev_per_atom": 975
}

(6)
{
  "formula": "KSc2Cr",
  "functional": "PBEsol",
  "state": "optimized geometry",
  "lattice": [[3.259, 0.000, 0.000], [0.000, 3.259, 0.000], [0.000, 0.000, 9.803]],
  "species": ["K", "Sc", "Sc", "Cr"],
  "frac_coords": [[0.000, 0.000, 0.000], [0.500, 0.500, 0.344], [0.500, 0.500, 0.656], [0.000, 0.000, 0.500]],
  "de_polymorph_mev_per_atom": 0,
  "delta_e_f_mev_per_atom": 411
}

(7)
{
  "formula": "KSc2Cr",
  "functional": "PBEsol",
  "state": "optimized geometry",
  "lattice": [[9.530, 0.000, 0.000], [0.000, 3.103, 0.000], [-0.661, 0.000, 7.904]],
  "species": ["K", "K", "Sc", "Sc", "Sc", "Sc", "Cr", "Cr"],
  "frac_coords": [[0.000, 0.000, 0.000], [0.500, 0.500, 0.000], [0.228, 0.000, 0.633], [0.478, 0.000, 0.433], [0.728, 0.500, 0.633], [0.978, 0.500, 0.433], [0.238, 0.500, 0.355], [0.738, 0.000, 0.355]],
  "de_polymorph_mev_per_atom": 339,
  "delta_e_f_mev_per_atom": 750
}

(8)
{
  "formula": "KCr5Se8",
  "functional": "PBEsol",
  "state": "optimized geometry",
  "lattice": [[9.317, -1.815, 0.000], [9.317, 1.815, 0.000], [-2.265, 0.000, 8.565]],
  "species": ["K", "Cr", "Cr", "Cr", "Cr", "Cr", "Se", "Se", "Se", "Se", "Se", "Se", "Se", "Se"],
  "frac_coords": [[0.000, 0.000, 0.000], [0.158, 0.158, 0.476], [0.204, 0.204, 0.834], [0.500, 0.500, 0.500], [0.796, 0.796, 0.166], [0.842, 0.842, 0.524], [0.075, 0.075, 0.656], [0.262, 0.262, 0.343], [0.330, 0.330, 0.008], [0.415, 0.415, 0.678], [0.585, 0.585, 0.322], [0.670, 0.670, 0.992], [0.738, 0.738, 0.657], [0.925, 0.925, 0.344]],
  "raw_formation_energy_ev_per_fu": -8.17
}

(9)
{
  "formula": "KCr2Se",
  "functional": "PBEsol",
  "state": "optimized geometry",
  "lattice": [[3.221, 0.000, 0.000], [0.000, 3.951, 0.000], [-0.056, 0.000, 6.860]],
  "species": ["K", "Cr", "Cr", "Se"],
  "frac_coords": [[0.000, 0.000, 0.000], [0.010, 0.500, 0.562], [0.508, 0.000, 0.533], [0.505, 0.500, 0.297]],
  "raw_formation_energy_ev_per_fu": 0.70
}

(10)
{
  "formula": "KCr2Se",
  "functional": "PBEsol",
  "state": "optimized geometry",
  "lattice": [[3.496, 0.000, 0.000], [0.000, 3.496, 0.000], [0.000, 0.000, 7.126]],
  "species": ["K", "Cr", "Cr", "Se"],
  "frac_coords": [[0.000, 0.000, 0.000], [0.500, 0.500, 0.368], [0.500, 0.500, 0.632], [0.000, 0.000, 0.500]],
  "raw_formation_energy_ev_per_fu": 3.13
}

(11)
{
  "formula": "K2CrSi",
  "functional": "PBEsol",
  "state": "optimized geometry",
  "lattice": [[4.221, 0.000, 0.000], [0.000, 4.221, 0.000], [0.000, 0.000, 5.515]],
  "species": ["K", "K", "Cr", "Si"],
  "frac_coords": [[0.000, 0.500, 0.000], [0.500, 0.000, 0.000], [0.000, 0.000, 0.500], [0.500, 0.500, 0.500]],
  "raw_formation_energy_ev_per_fu": 3.59
}

(12)
{
  "formula": "K3CrSi",
  "functional": "PBEsol",
  "state": "optimized geometry",
  "lattice": [[6.360, 0.000, 0.000], [0.000, 6.360, 0.000], [0.000, 0.000, 6.360]],
  "species": ["K", "K", "K", "Cr", "Si"],
  "frac_coords": [[0.000, 0.000, 0.500], [0.000, 0.500, 0.000], [0.500, 0.000, 0.000], [0.500, 0.500, 0.500], [0.000, 0.000, 0.000]],
  "raw_formation_energy_ev_per_fu": 5.15
}

Number 1: D(E_F) 2.62 states/eV/cell, DFT total energy -2.574 eV/atom. Number 2: D(E_F) 2.98 states/eV/cell, DFT total energy -6.059 eV/atom. Number 3: D(E_F) 10.77 states/eV/cell, DFT total energy -7.002 eV/atom. Number 4: D(E_F) 4.41 states/eV/cell, DFT total energy -5.653 eV/atom. Number 5: D(E_F) 5.82 states/eV/cell, DFT total energy -5.171 eV/atom. Number 6: D(E_F) 4.06 states/eV/cell, DFT total energy -5.736 eV/atom. Number 7: D(E_F) 9.33 states/eV/cell, DFT total energy -5.397 eV/atom. Number 8: D(E_F) 1.26 states/eV/cell, DFT total energy -6.523 eV/atom. Number 9: D(E_F) 1.16 states/eV/cell, DFT total energy -6.191 eV/atom. Number 10: D(E_F) 2.32 states/eV/cell, DFT total energy -5.585 eV/atom. Number 11: D(E_F) 2.46 states/eV/cell, DFT total energy -3.668 eV/atom. Number 12: D(E_F) 2.24 states/eV/cell, DFT total energy -2.848 eV/atom.